Entry 1:
An optimized crystal structure of Ac3TmPb2, computed with PBE-GGA.

Output
energy of formation: -12.93 kJ per mole of atoms
N(E_F): 8.05 states/eV/f.u.
DFT total energy: -50.0 eV/cell
magnetic moment: 0.0 μB per formula unit

Cell: 8.9259 8.9259 8.9259 Å, 59.63 59.63 59.63°
Element x y z (fractional)
Ac (0.4627, 0.0373, 0.7500)
Ac (0.0373, 0.7500, 0.4627)
Ac (0.9627, 0.2500, 0.5373)
Ac (0.7500, 0.4627, 0.0373)
Ac (0.2500, 0.5373, 0.9627)
Ac (0.5373, 0.9627, 0.2500)
Pb (0.1444, 0.1444, 0.1444)
Pb (0.6444, 0.6444, 0.6444)
Pb (0.8556, 0.8556, 0.8556)
Pb (0.3556, 0.3556, 0.3556)
Tm (0.0000, 0.0000, 0.0000)
Tm (0.5000, 0.5000, 0.5000)



Entry 2:
An optimized crystal structure of DyTh2PaN4, computed with PBE-GGA.

Output
energy relative to the elements, uncorrected: -1.617 eV per atom
N(E_F): 3.50 states/eV/f.u.
DFT total energy: -75.2 eV/cell
magnetic moment: 0.0 μB per formula unit

Cell: 3.5630 6.1412 6.2323 Å, 109.14 90.00 90.00°
Element x y z (fractional)
N (0.0000, 0.7544, 0.2299)
N (0.5000, 0.2352, 0.2232)
N (0.0000, 0.2456, 0.7701)
N (0.5000, 0.7648, 0.7768)
Pa (0.0000, 0.0000, 0.0000)
Dy (0.5000, 0.5000, 0.0000)
Th (0.5000, 0.0000, 0.5000)
Th (0.0000, 0.5000, 0.5000)



Entry 3:
An optimized crystal structure of LiY2HPd, computed with PBE-GGA.

Output
N(E_F): 4.67 states/eV/f.u.
distance to the lowest polymorph of the same formula: 128 meV per atom
DFT total energy: -25.3 eV/cell
magnetic moment: 0.0 μB per formula unit

Cell: 4.9950 4.9950 3.7635 Å, 90.00 90.00 90.00°
Element x y z (fractional)
H (0.0000, 0.0000, 0.0000)
Y (0.0000, 0.5000, 0.0000)
Y (0.5000, 0.0000, 0.0000)
Li (0.5000, 0.5000, 0.5000)
Pd (0.0000, 0.0000, 0.5000)



Entry 4:
An optimized crystal structure of ZrTi2Rh, computed with PBE-GGA.

Output
energy of formation: -38.76 kJ per mole of atoms
N(E_F): 4.69 states/eV/f.u.
distance to the lowest polymorph of the same formula: 11 meV per atom
DFT total energy: -33.3 eV/cell
magnetic moment: 0.0 μB per formula unit

Cell: 3.1404 3.1404 7.0454 Å, 90.00 90.00 90.00°
Element x y z (fractional)
Zr (0.5000, 0.5000, 0.5000)
Ti (0.0000, 0.0000, 0.2167)
Ti (0.0000, 0.0000, 0.7833)
Rh (0.5000, 0.5000, 0.0000)



Entry 5:
An optimized crystal structure of Tb3DyH, computed with PBE-GGA.

Output
N(E_F): 4.73 states/eV/f.u.
DFT total energy: -22.7 eV/cell
magnetic moment: 0.0 μB per formula unit

Cell: 5.0005 5.0005 5.0005 Å, 90.00 90.00 90.00°
Element x y z (fractional)
Tb (0.0000, 0.5000, 0.0000)
Tb (0.0000, 0.0000, 0.5000)
Tb (0.5000, 0.0000, 0.0000)
Dy (0.5000, 0.5000, 0.5000)
H (0.0000, 0.0000, 0.0000)



Entry 6:
An optimized crystal structure of KHfCu3, computed with PBE-GGA.

Output
energy of formation: 81.50 kJ per mole of atoms
N(E_F): 3.92 states/eV/f.u.
distance to the lowest polymorph of the same formula: 0 meV per atom
DFT total energy: -19.1 eV/cell
magnetic moment: 0.0 μB per formula unit

Cell: 5.1105 5.1105 5.1105 Å, 90.00 90.00 90.00°
Element x y z (fractional)
K (0.5000, 0.5000, 0.5000)
Cu (0.5000, 0.0000, 0.0000)
Cu (0.0000, 0.5000, 0.0000)
Cu (0.0000, 0.0000, 0.5000)
Hf (0.0000, 0.0000, 0.0000)



Entry 7:
An optimized crystal structure of TcSbH2, computed with PBE-GGA.

Output
N(E_F): 2.81 states/eV/f.u.
distance to the lowest polymorph of the same formula: 1078 meV per atom
DFT total energy: -17.0 eV/cell
magnetic moment: 0.0 μB per formula unit

Cell: 3.9732 3.9732 3.9732 Å, 60.00 60.00 60.00°
Element x y z (fractional)
Sb (0.5000, 0.5000, 0.5000)
Tc (0.0000, 0.0000, 0.0000)
H (0.7500, 0.7500, 0.7500)
H (0.2500, 0.2500, 0.2500)



Entry 8:
An optimized crystal structure of Be3VPb, computed with PBE-GGA.

Output
energy of formation: 120.44 kJ per mole of atoms
N(E_F): 4.60 states/eV/f.u.
distance to the lowest polymorph of the same formula: 0 meV per atom
DFT total energy: -17.8 eV/cell
magnetic moment: 2.6 μB per formula unit

Cell: 4.4755 4.4755 4.4755 Å, 90.00 90.00 90.00°
Element x y z (fractional)
Pb (0.5000, 0.5000, 0.5000)
Be (0.5000, 0.0000, 0.0000)
Be (0.0000, 0.0000, 0.5000)
Be (0.0000, 0.5000, 0.0000)
V (0.0000, 0.0000, 0.0000)



Entry 9:
An optimized crystal structure of TaAs2Ir, computed with PBE-GGA.

Output
energy of formation: -2.49 kJ per mole of atoms
N(E_F): 1.68 states/eV/f.u.
distance to the lowest polymorph of the same formula: 188 meV per atom
DFT total energy: -30.1 eV/cell
magnetic moment: 0.0 μB per formula unit

Cell: 4.4812 4.4812 4.4812 Å, 60.00 60.00 60.00°
Element x y z (fractional)
As (0.2500, 0.2500, 0.2500)
As (0.7500, 0.7500, 0.7500)
Ir (0.5000, 0.5000, 0.5000)
Ta (0.0000, 0.0000, 0.0000)



Entry 10:
An optimized crystal structure of LiCuI2, computed with PBE-GGA.

Output
energy relative to the elements, uncorrected: -0.477 eV per atom
N(E_F): 0.00 states/eV/f.u.
distance to the lowest polymorph of the same formula: 190 meV per atom
DFT total energy: -11.0 eV/cell
magnetic moment: 0.0 μB per formula unit

Cell: 4.1197 4.1197 7.5134 Å, 74.09 74.09 60.00°
Element x y z (fractional)
Cu (0.6658, 0.6658, 0.0026)
Li (0.5011, 0.5011, 0.4968)
I (0.0753, 0.0753, 0.7742)
I (0.2579, 0.2579, 0.2264)



Entry 11:
An optimized crystal structure of MgSnPb, computed with PBE-GGA.

Output
energy of formation: 3.82 kJ per mole of atoms
N(E_F): 1.46 states/eV/f.u.
distance to the lowest polymorph of the same formula: 73 meV per atom
DFT total energy: -18.4 eV/cell
magnetic moment: 0.0 μB per formula unit

Cell: 4.5460 5.1910 9.5389 Å, 74.06 89.71 55.90°
Element x y z (fractional)
Mg (0.8993, 0.9039, 0.2983)
Mg (0.5707, 0.4305, 0.5797)
Sn (0.2374, 0.1719, 0.4297)
Sn (0.5717, 0.6335, 0.1610)
Pb (0.3675, 0.9293, 0.7741)
Pb (0.2201, 0.3977, 0.9802)



Entry 12:
An optimized crystal structure of LaSnC, computed with PBE-GGA.

Output
energy of formation: 29.66 kJ per mole of atoms
N(E_F): 1.57 states/eV/f.u.
DFT total energy: -34.5 eV/cell
magnetic moment: 0.0 μB per formula unit

Cell: 4.2581 4.2582 12.0981 Å, 110.48 110.52 59.98°
Element x y z (fractional)
C (0.8090, 0.2770, 0.9793)
C (0.7922, 0.2623, 0.4534)
Sn (0.6812, 0.1501, 0.7876)
Sn (0.9198, 0.3893, 0.6454)
La (0.5072, 0.9750, 0.0266)
La (0.4285, 0.8987, 0.4074)